Record 1
Crystalline FeNiTe2 at its relaxed geometry, computed with PBE.

abc: 4.6626 4.6626 4.6626
angles: 60.00 60.00 60.00
Site moments in Bohr magnetons follow the coordinates.
Element x y z (fractional)
Fe: 0.0000 0.0000 0.0000  2.08
Ni: 0.5000 0.5000 0.5000  -0.31
Te: 0.7500 0.7500 0.7500  -0.09
Te: 0.2500 0.2500 0.2500  -0.09

Output
Crystal system: cubic
Symmetry: Fm-3m (225)

---

Record 2
Crystalline PuTh3N4 at its relaxed geometry, computed with PBE.

abc: 5.1355 5.1355 5.1355
angles: 90.00 90.00 90.00
Site moments in Bohr magnetons follow the coordinates.
Element x y z (fractional)
N: 0.0000 0.0000 0.5000  -0.07
N: 0.0000 0.5000 0.0000  -0.07
N: 0.5000 0.5000 0.5000  0.01
N: 0.5000 0.0000 0.0000  -0.07
Pu: 0.0000 0.0000 0.0000  4.96
Th: 0.5000 0.0000 0.5000  0.07
Th: 0.0000 0.5000 0.5000  0.07
Th: 0.5000 0.5000 0.0000  0.07

Output
Crystal system: cubic
Symmetry: Pm-3m (221)

---

The records above give, respectively, formation energy from raw total energies values of 0.393, -1.482 eV per atom.